1.
# Li2Sc2InNi2Sn (PBE, relaxed)
# **VASP energy**: -4.804 eV per atom
# **Calculated volume**: 127 Å³/cell
data_Li2Sc2InNi2Sn
_space_group_name_H-M_alt 'P -4 m 2'
_space_group_IT_number 115
_space_group_name_Hall 'P -4 -2'
_cell_length_a 4.475
_cell_length_b 4.475
_cell_length_c 6.365
_cell_angle_alpha 90.00
_cell_angle_beta 90.00
_cell_angle_gamma 90.00
loop_
_atom_site_label
_atom_site_type_symbol
_atom_site_fract_x
_atom_site_fract_y
_atom_site_fract_z
Li1 Li 0.000 0.500 0.249
Sc1 Sc 0.000 0.000 0.000
Sc2 Sc 0.500 0.500 0.500
In1 In 0.500 0.500 0.000
Ni1 Ni 0.000 0.500 0.746
Sn1 Sn 0.000 0.000 0.500

=====

2.
# RbHfTlSe3 (PBE, relaxed)
# **VASP energy**: -5.067 eV per atom
# **Calculated volume**: 358 Å³/cell
data_RbHfTlSe3
_space_group_name_H-M_alt 'P 1 21/m 1'
_space_group_IT_number 11
_space_group_name_Hall '-P 2yb'
_cell_length_a 8.236
_cell_length_b 3.972
_cell_length_c 11.005
_cell_angle_alpha 90.00
_cell_angle_beta 96.50
_cell_angle_gamma 90.00
loop_
_atom_site_label
_atom_site_type_symbol
_atom_site_fract_x
_atom_site_fract_y
_atom_site_fract_z
Rb1 Rb 0.247 0.250 0.476
Hf1 Hf 0.409 0.750 0.837
Tl1 Tl 0.050 0.750 0.144
Se1 Se 0.132 0.750 0.704
Se2 Se 0.316 0.250 0.985
Se3 Se 0.449 0.750 0.280

=====

3.
# RbTmSeO (PBE, relaxed)
# **VASP energy**: -5.544 eV per atom
# **Calculated volume**: 269 Å³/cell
# **Energy above the most stable polymorph in this dataset**: 0.166 eV/atom
data_RbTmSeO
_space_group_name_H-M_alt 'R 3 m'
_space_group_IT_number 160
_space_group_name_Hall 'R 3 -2"'
_cell_length_a 3.7458
_cell_length_b 3.7458
_cell_length_c 22.1197
_cell_angle_alpha 90.00
_cell_angle_beta 90.00
_cell_angle_gamma 120.00
loop_
_atom_site_label
_atom_site_type_symbol
_atom_site_fract_x
_atom_site_fract_y
_atom_site_fract_z
Rb1 Rb 0.0000 0.0000 0.0000
Tm1 Tm 0.0000 0.0000 0.5210
Se1 Se 0.0000 0.0000 0.7750
O1 O 0.0000 0.0000 0.2299